Pm6PrEr2: relaxed, PBE.

Values from the calculation:
Energy relative to the elements: 0.63 eV per atom
D(E_F): 1.51 states/eV/atom
ΔE to the lowest computed polymorph: 450 kJ/mol of formula units

The structure in CIF format:
```
data_Pm6PrEr2
_chemical_formula_sum 'Pm12 Pr2 Er4'
_symmetry_space_group_name_H-M 'P 42/m n m'
_symmetry_Int_Tables_number 136
_symmetry_space_group_name_Hall '-P 4n 2n'
_cell_length_a 8.259
_cell_length_b 8.259
_cell_length_c 10.488
_cell_angle_alpha 90.00
_cell_angle_beta 90.00
_cell_angle_gamma 90.00
loop_
_atom_site_label
_atom_site_type_symbol
_atom_site_fract_x
_atom_site_fract_y
_atom_site_fract_z
Pm1 Pm 0.237 0.237 0.000
Pm2 Pm 0.239 0.239 0.334
Pr1 Pr 0.000 0.000 0.500
Er1 Er 0.000 0.000 0.165
```

=====

B2C: relaxed, PBE.

Values from the calculation:
Energy relative to the elements: 0.36 eV per atom
D(E_F): 0.22 states/eV/atom
ΔE to the lowest computed polymorph: 51 kJ/mol of formula units

The structure in CIF format:
```
data_B2C
_chemical_formula_sum 'B8 C4'
_symmetry_space_group_name_H-M 'P 1 m 1'
_symmetry_Int_Tables_number 6
_cell_length_a 4.754
_cell_length_b 2.745
_cell_length_c 6.768
_cell_angle_alpha 90.00
_cell_angle_beta 90.71
_cell_angle_gamma 90.00
loop_
_symmetry_equiv_pos_as_xyz
'x,y,z'
'x,-y,z'
loop_
_atom_site_label
_atom_site_type_symbol
_atom_site_fract_x
_atom_site_fract_y
_atom_site_fract_z
B1 B 0.000 0.000 0.000
B2 B 0.024 0.000 0.558
B3 B 0.213 0.500 0.825
B4 B 0.451 0.000 0.155
B5 B 0.519 0.500 0.501
B6 B 0.650 0.000 0.824
B7 B 0.825 0.500 0.148
B8 B 0.855 0.500 0.900
C1 C 0.190 0.500 0.579
C2 C 0.342 0.000 0.931
C3 C 0.544 0.500 0.254
C4 C 0.691 0.000 0.589
```

=====

Tb6Er3TmSc2: relaxed, PBE.

Values from the calculation:
Energy relative to the elements: 0.04 eV per atom
D(E_F): 1.38 states/eV/atom

The structure in CIF format:
```
data_Tb6Er3TmSc2
_chemical_formula_sum 'Tb12 Er6 Tm2 Sc4'
_symmetry_space_group_name_H-M 'C 1 2/m 1'
_symmetry_Int_Tables_number 12
_cell_length_a 6.063
_cell_length_b 10.491
_cell_length_c 11.506
_cell_angle_alpha 90.00
_cell_angle_beta 100.08
_cell_angle_gamma 90.00
loop_
_symmetry_equiv_pos_as_xyz
'x,y,z'
'-x,-y,-z'
'-x,y,-z'
'x,-y,z'
'x+1/2,y+1/2,z'
'-x+1/2,-y+1/2,-z'
'-x+1/2,y+1/2,-z'
'x+1/2,-y+1/2,z'
loop_
_atom_site_label
_atom_site_type_symbol
_atom_site_fract_x
_atom_site_fract_y
_atom_site_fract_z
Tb1 Tb 0.246 0.000 0.245
Tb2 Tb 0.250 0.168 0.755
Er1 Er 0.000 0.000 0.500
Er2 Er 0.000 0.333 0.500
Tm1 Tm 0.000 0.500 0.000
Sc1 Sc 0.000 0.167 0.000
```

=====

NdDyTh: relaxed, PBE.

Values from the calculation:
Energy relative to the elements: 0.03 eV per atom
D(E_F): 1.64 states/eV/atom
ΔE to the lowest computed polymorph: 0 kJ/mol of formula units

The structure in CIF format:
```
data_NdDyTh
_chemical_formula_sum 'Nd1 Dy1 Th1'
_symmetry_space_group_name_H-M 'P 3 m 1'
_symmetry_Int_Tables_number 156
_cell_length_a 3.6000
_cell_length_b 3.6000
_cell_length_c 8.8263
_cell_angle_alpha 90.00
_cell_angle_beta 90.00
_cell_angle_gamma 120.00
loop_
_symmetry_equiv_pos_as_xyz
'x,y,z'
'-y,x-y,z'
'-x+y,-x,z'
'-y,-x,z'
'-x+y,y,z'
'x,x-y,z'
loop_
_atom_site_label
_atom_site_type_symbol
_atom_site_fract_x
_atom_site_fract_y
_atom_site_fract_z
Nd1 Nd 0.0000 0.0000 0.0000
Dy1 Dy 0.6667 0.3333 0.3509
Th1 Th 0.3333 0.6667 0.6697
```

=====

Ta3Cr: relaxed, PBE.

Values from the calculation:
Energy relative to the elements: 0.36 eV per atom
D(E_F): 1.27 states/eV/atom

The structure in CIF format:
```
data_Ta3Cr
_chemical_formula_sum 'Ta6 Cr2'
_symmetry_space_group_name_H-M 'P 63/m m c'
_symmetry_Int_Tables_number 194
_symmetry_space_group_name_Hall '-P 6c 2c'
_cell_length_a 5.6796
_cell_length_b 5.6796
_cell_length_c 4.9783
_cell_angle_alpha 90.00
_cell_angle_beta 90.00
_cell_angle_gamma 120.00
loop_
_atom_site_label
_atom_site_type_symbol
_atom_site_fract_x
_atom_site_fract_y
_atom_site_fract_z
Ta1 Ta 0.1696 0.3392 0.2500
Cr1 Cr 0.3333 0.6667 0.7500
```

=====

PmMnN2: relaxed, PBE.

Values from the calculation:
D(E_F): 0.29 states/eV/atom
ΔE to the lowest computed polymorph: 82 kJ/mol of formula units
Uncorrected formation energy: -0.654 eV per atom

The structure in CIF format:
```
data_PmMnN2
_chemical_formula_sum 'Pm3 Mn3 N6'
_symmetry_space_group_name_H-M 'R -3 m'
_symmetry_Int_Tables_number 166
_symmetry_space_group_name_Hall '-R 3 2"'
_cell_length_a 3.2671
_cell_length_b 3.2671
_cell_length_c 15.2781
_cell_angle_alpha 90.00
_cell_angle_beta 90.00
_cell_angle_gamma 120.00
loop_
_atom_site_label
_atom_site_type_symbol
_atom_site_fract_x
_atom_site_fract_y
_atom_site_fract_z
Pm1 Pm 0.0000 0.0000 0.0000
Mn1 Mn 0.0000 0.0000 0.5000
N1 N 0.0000 0.0000 0.2316
```